Record 1
# YZnSe4

A relaxed YZnSe4 crystal (GGA-PBEsol, Alexandria).

Properties
VASP energy	-0.1494	hartree per atom
E_form (uncorrected)	-0.098	eV/atom

Unit cell a=8.0196 b=8.0196 c=8.0196 alpha=90.00 beta=90.00 gamma=90.00
Space group F-43m (No. 216)
Unique sites:
Y: 0.0000 0.0000 0.0000 [4 per cell]
Zn: 0.2500 0.2500 0.7500 [4 per cell]
Se: 0.1250 0.1250 0.3750 [16 per cell]

---

Record 2
# Nb2BN

A relaxed Nb2BN crystal (GGA-PBEsol, Alexandria).

Properties
VASP energy	-0.3427	hartree per atom
E_form (uncorrected)	-0.028	eV/atom

Unit cell a=5.6172 b=5.6172 c=5.6172 alpha=90.00 beta=90.00 gamma=90.00
Space group Fm-3m (No. 225)
Unique sites:
Nb: 0.2500 0.2500 0.2500 [8 per cell]
B: 0.0000 0.0000 0.0000 [4 per cell]
N: 0.0000 0.0000 0.5000 [4 per cell]

---

Record 3
# Hf2Hg

A relaxed Hf2Hg crystal (GGA-PBEsol, Alexandria).

Properties
VASP energy	-0.2715	hartree per atom
energy of formation	-0.196	eV/atom

Unit cell a=3.2894 b=3.2894 c=11.5708 alpha=90.00 beta=90.00 gamma=90.00
Space group I4/mmm (No. 139)
Unique sites:
Hf: 0.0000 0.0000 0.1656 [4 per cell]
Hg: 0.0000 0.0000 0.5000 [2 per cell]

---

Record 4
# MnTc2Ru

A relaxed MnTc2Ru crystal (GGA-PBEsol, Alexandria).

Properties
VASP energy	-0.3819	hartree per atom
distance to the lowest polymorph of the same formula	13.5	kJ/mol of atoms
energy of formation	0.226	eV/atom

Unit cell a=2.8406 b=4.2893 c=8.7330 alpha=90.00 beta=90.00 gamma=90.00
Space group Imm2 (No. 44)
Unique sites:
Mn: 0.0000 0.0000 0.0000 [2 per cell]
Tc: 0.0000 0.0000 0.5052 [2 per cell]
Tc: 0.0000 0.5000 0.2749 [2 per cell]
Ru: 0.0000 0.5000 0.7300 [2 per cell]